(1)
YWN3 | the Open Quantum Materials Database | PBE | optimized geometry; DFT total energy = -197.49 eV for the cell shown; size of the total moment = 0.00 Bohr magnetons per cell
1.0
-6.777 1.799 -2.006
-3.345 -1.024 6.400
3.149 5.382 0.522
Y N W
4 12 4
Direct
0.707 0.293 0.250
0.089 0.911 0.250
0.911 0.089 0.750
0.293 0.707 0.750
0.646 0.639 0.438
0.220 0.000 0.653
0.000 0.220 0.153
0.893 0.373 0.656
0.107 0.627 0.344
0.000 0.780 0.847
0.373 0.893 0.156
0.354 0.361 0.562
0.639 0.646 0.938
0.627 0.107 0.844
0.780 0.000 0.347
0.361 0.354 0.062
0.800 0.619 0.730
0.619 0.800 0.230
0.200 0.381 0.270
0.381 0.200 0.770

---

(2)
TlPtNO | the Open Quantum Materials Database | PBE | optimized geometry; size of the total moment = 0.01 Bohr magnetons per cell; relative energy among the computed polymorphs = 200 meV/atom
1.0
3.585 0.000 0.000
0.000 6.628 0.000
0.000 0.000 6.080
Pt Tl O N
2 2 2 2
Direct
0.500 0.826 0.986
0.500 0.174 0.486
0.000 0.683 0.496
0.000 0.317 0.996
0.500 0.895 0.325
0.500 0.105 0.825
0.000 0.263 0.446
0.000 0.737 0.946

---

(3)
NbGeAu | the Open Quantum Materials Database | PBE | optimized geometry; DFT total energy = -52.27 eV for the cell shown; size of the total moment = 0.03 Bohr magnetons per cell
1.0
-0.672 1.575 7.729
-4.122 -5.953 -3.200
2.263 -1.879 0.580
Au Ge Nb
3 3 3
Direct
0.667 0.333 0.000
0.000 0.000 0.500
0.333 0.667 0.000
0.353 0.353 0.500
0.647 0.000 0.500
0.000 0.647 0.500
0.683 0.683 0.000
0.317 0.000 0.000
0.000 0.317 0.000

---

(4)
LuTaCoAu | the Open Quantum Materials Database | PBE | optimized geometry; calculated formation energy = -65 meV per atom; size of the total moment = 0.39 Bohr magnetons per cell; relative energy among the computed polymorphs = 0 meV/atom
1.0
0.000 3.297 3.297
3.297 0.000 3.297
3.297 3.297 0.000
Ta Co Au Lu
1 1 1 1
Direct
0.000 0.000 0.000
0.250 0.250 0.250
0.750 0.750 0.750
0.500 0.500 0.500

---

Number 1: theoretical density 6.83 Mg/m³. Number 2: theoretical density 9.87 Mg/m³. Number 3: theoretical density 11.10 Mg/m³. Number 4: theoretical density 14.17 Mg/m³.